one | DFT (SCAN) results for MnNiPb2 at its PBEsol-relaxed geometry.

Density of states at the Fermi level in states/eV/f.u.: 2.36
Total magnetization in μB per atom: 0.967
Crystal system: orthorhombic

Lattice parameters (Å, degrees): 3.323 4.761 4.724 90.00 90.00 90.00
Last column: magnetic moment on the atom in μB.
Fractional coordinates of all 4 atoms:
Pb 0.000 0.500 0.500  -0.03
Pb 0.000 0.000 0.000  -0.03
Ni 0.500 0.000 0.500  -0.07
Mn 0.500 0.500 0.000  3.94

two | DFT (SCAN) results for MnNiPb2 at its PBEsol-relaxed geometry.

Density of states at the Fermi level in states/eV/f.u.: 1.42
Total magnetization in μB per atom: 1.251
Crystal system: cubic

Lattice parameters (Å, degrees): 4.872 4.872 4.872 60.00 60.00 60.00
Last column: magnetic moment on the atom in μB.
Fractional coordinates of all 4 atoms:
Pb 0.000 0.000 0.000  0.01
Pb 0.750 0.750 0.750  0.04
Ni 0.250 0.250 0.250  0.62
Mn 0.500 0.500 0.500  4.25

Which one is the most stable? From the structures above, one.